# 1
ErLuPu: relaxed, GGA-PBE.

- VASP energy: -22.922 eV per cell
- Symmetry: P-6m2

Cell lengths 5.507, 5.507, 3.273 Å; angles 90.00, 90.00, 120.00 degrees
Atoms (fractional coordinates):
Er 0.000 0.000 0.000
Lu 0.333 0.667 0.500
Pu 0.667 0.333 0.500

---

# 2
ErLuPu2: relaxed, GGA-PBE.

- VASP energy: -37.123 eV per cell
- Symmetry: P4/mmm

Cell lengths 4.763, 4.763, 4.999 Å; angles 90.00, 90.00, 90.00 degrees
Atoms (fractional coordinates):
Er 0.000 0.000 0.000
Lu 0.500 0.500 0.000
Pu 0.000 0.500 0.500
Pu 0.500 0.000 0.500